VASP calculation (PBE-GGA) on Zr4SnBi after structural relaxation.

Summary:
symmetry	C2/m
DOS at the Fermi energy	7.25	states/eV per cell
formation enthalpy at 0 K	0.0	eV/f.u.
polymorph energy (0 for the lowest one)	101.1	meV/atom

abc: 3.159 5.167 9.548
angles: 85.53 80.48 72.20
Fractional coordinates of all 6 atoms:
Zr  0.649  0.533  0.169
Zr  0.351  0.467  0.831
Zr  0.151  0.040  0.658
Zr  0.849  0.960  0.342
Sn  0.500  0.500  0.500
Bi  0.000  0.000  0.000